La8Nd3Sc: optimized geometry, PBE.

Cell and atoms, written as POSCAR:
```
La8Nd3Sc
1.0
7.735 -0.543 -3.705
-4.534 7.207 -1.159
-0.342 0.543 8.570
La Nd Sc
8 3 1
Cartesian
2.643 1.503 -0.109
0.360 5.476 3.596
-3.589 5.705 1.311
-1.431 2.275 6.318
0.111 2.743 1.831
5.214 0.545 -1.874
-3.150 5.007 6.787
-4.192 6.663 4.371
0.381 5.270 -0.580
2.478 1.938 4.285
-2.438 3.875 3.705
0.000 0.000 0.000
```

total moment = 0.0 μB per formula unit
calculated density = 5.72 g/cm³
ΔH_f (0 K) = 466.4 meV per atom

***

TbPa2B6: optimized geometry, PBE.

Cell and atoms, written as POSCAR:
```
TbPa2B6
1.0
4.029 0.000 0.000
0.000 4.846 -2.798
0.000 0.000 5.595
Tb Pa B
1 2 6
Cartesian
0.000 0.000 5.595
0.000 1.615 2.798
4.029 3.231 0.000
2.014 1.630 0.941
2.014 3.216 1.857
2.014 0.000 3.714
2.014 3.216 3.739
2.014 1.630 -0.941
2.014 4.846 -0.916
```

total moment = 0.0 μB per formula unit
calculated density = 10.43 g/cm³
ΔH_f (0 K) = -581.2 meV per atom

***

Tm7Sn2Bi2: optimized geometry, PBE.

Cell and atoms, written as POSCAR:
```
Tm7Sn2Bi2
1.0
6.788 -0.003 -0.686
0.003 7.607 0.003
-1.107 -0.002 6.732
Tm Sn Bi
7 2 2
Cartesian
6.234 2.193 2.684
2.292 5.406 6.390
-0.549 5.409 3.366
3.393 2.196 -0.340
0.000 0.000 0.000
2.845 5.521 3.024
2.840 2.081 3.026
4.665 3.799 4.965
1.020 3.803 1.085
4.535 7.605 1.438
1.149 -0.002 4.612
```

total moment = 0.0 μB per formula unit
calculated density = 8.93 g/cm³
ΔH_f (0 K) = -184.4 meV per atom

***

HfTl: optimized geometry, PBE.

Cell and atoms, written as POSCAR:
```
HfTl
1.0
3.236 0.000 0.000
-1.618 2.802 0.000
0.000 0.000 5.151
Tl Hf
1 1
Cartesian
1.618 0.934 0.000
0.000 0.000 2.576
```

total moment = 0.0 μB per formula unit
calculated density = 13.61 g/cm³
ΔH_f (0 K) = 138.6 meV per atom

***

CrRe2Se: optimized geometry, PBE.

Cell and atoms, written as POSCAR:
```
CrRe2Se
1.0
-2.955 -1.390 -3.817
1.057 -3.515 3.430
-2.532 -0.382 1.290
Cr Re Se
1 2 1
Cartesian
-0.738 -1.949 2.360
0.000 0.000 0.000
-0.949 -2.453 -0.194
-2.744 -0.886 -1.264
```

distance to the lowest polymorph of the same formula = 0.433 eV per atom
total moment = 0.3 μB per formula unit
calculated density = 14.16 g/cm³

***

CsU3Au4Se12: optimized geometry, PBE.

Cell and atoms, written as POSCAR:
```
CsU3Au4Se12
1.0
-6.585 -6.552 -0.380
8.207 -4.365 -0.154
-0.739 4.136 8.294
Cs U Au Se
1 3 4 12
Cartesian
0.000 0.000 0.000
-0.207 -5.609 -0.282
-3.259 -0.473 4.554
4.350 -0.700 3.489
-5.864 -4.323 3.783
2.934 1.166 7.578
4.256 -7.015 0.279
0.442 -3.391 3.880
-1.060 -1.964 5.298
-1.905 -7.681 0.398
6.380 -2.513 3.971
-3.149 0.021 7.271
5.334 -5.484 1.907
0.516 0.675 7.838
-4.445 -5.973 2.593
1.808 -7.244 -0.056
4.457 0.020 5.990
-5.019 -2.338 5.008
-0.539 -5.185 2.424
2.925 -3.024 3.918
```

total moment = 0.0 μB per formula unit
DFT total energy = -0.36781 Ry per atom
calculated density = 6.42 g/cm³

***

La3DyHo2P6: optimized geometry, PBE.

Cell and atoms, written as POSCAR:
```
La3DyHo2P6
1.0
-2.406 -6.486 -1.859
7.032 1.128 0.762
-1.974 0.077 6.883
La Dy Ho P
3 1 2 6
Cartesian
4.473 -0.102 3.767
-1.820 -5.179 2.019
1.326 -2.640 2.893
0.000 0.000 0.000
3.887 -1.410 -0.111
0.740 -3.948 -0.985
0.406 -5.255 3.998
2.980 -3.971 0.804
2.247 -0.025 1.789
3.558 -2.712 4.874
-0.327 -1.310 4.983
-0.905 -2.568 0.913
```

total moment = 0.0 μB per formula unit
calculated density = 6.06 g/cm³
ΔH_f (0 K) = -1579.4 meV per atom

***

PuSBr: optimized geometry, PBE.

Cell and atoms, written as POSCAR:
```
PuSBr
1.0
-2.699 -2.508 2.615
-0.960 0.533 -4.383
7.780 -7.032 -2.472
Pu S Br
2 2 2
Cartesian
1.871 -2.829 -0.711
2.251 -6.178 -3.529
3.372 -5.073 -1.312
0.749 -3.934 -2.928
5.289 -6.056 -4.180
-1.167 -2.952 -0.060
```

distance to the lowest polymorph of the same formula = 0.051 eV per atom
total moment = 5.0 μB per formula unit
calculated density = 6.39 g/cm³

***

MnZn: optimized geometry, PBE.

Cell and atoms, written as POSCAR:
```
MnZn
1.0
3.797 0.000 0.000
-1.898 3.288 0.000
0.000 0.000 13.045
Zn Mn
6 6
Cartesian
0.000 0.000 1.518
0.000 0.000 11.527
0.000 2.192 5.867
0.000 2.192 2.828
1.898 1.096 10.216
1.898 1.096 7.177
0.000 0.000 4.252
0.000 0.000 8.793
0.000 2.192 8.598
0.000 2.192 0.097
1.898 1.096 12.947
1.898 1.096 4.447
```

total moment = 0.0 μB per formula unit
calculated density = 7.36 g/cm³
ΔH_f (0 K) = 255.6 meV per atom

***

MgHSCl2: optimized geometry, PBE.

Cell and atoms, written as POSCAR:
```
MgHSCl2
1.0
-0.557 4.805 1.025
-4.873 -0.672 0.500
0.651 -0.994 5.012
H S Mg Cl
1 1 1 2
Cartesian
-2.390 1.570 3.269
0.326 -0.497 2.506
0.000 0.000 0.000
-2.437 -0.336 0.250
-0.279 2.403 0.512
```

distance to the lowest polymorph of the same formula = 0.039 eV per atom
total moment = 3.0 μB per formula unit
calculated density = 1.69 g/cm³

***

Mg5Tl2Pb2: optimized geometry, PBE.

Cell and atoms, written as POSCAR:
```
Mg5Tl2Pb2
1.0
5.205 0.000 0.000
-2.602 8.445 -0.896
0.000 -2.855 5.785
Mg Tl Pb
5 2 2
Cartesian
0.000 3.679 5.005
2.602 1.911 -0.116
0.000 2.118 2.079
2.602 3.472 2.810
0.000 0.000 0.000
0.000 0.374 4.745
2.602 5.216 0.144
0.000 5.322 2.400
2.602 0.268 2.489
```

distance to the lowest polymorph of the same formula = 0.016 eV per atom
total moment = 0.0 μB per formula unit
calculated density = 6.51 g/cm³
ΔH_f (0 K) = 19.6 meV per atom

***

TiHBr3: optimized geometry, PBE.

Cell and atoms, written as POSCAR:
```
TiHBr3
1.0
5.139 0.000 0.000
0.000 5.139 0.000
0.000 0.000 5.139
H Br Ti
1 3 1
Cartesian
2.570 2.570 2.570
0.000 2.570 0.000
0.000 0.000 2.570
2.570 0.000 0.000
0.000 0.000 0.000
```

distance to the lowest polymorph of the same formula = 0.534 eV per atom
total moment = 2.0 μB per formula unit
calculated density = 3.53 g/cm³

***

PaTaCo: optimized geometry, PBE.

Cell and atoms, written as POSCAR:
```
PaTaCo
1.0
-2.681 -3.874 4.056
5.597 -2.145 1.651
0.370 4.364 4.412
Co Ta Pa
4 4 4
Cartesian
2.568 -1.293 7.911
-0.600 -2.021 4.517
3.345 -1.679 3.292
1.257 1.685 4.520
1.329 -0.669 4.093
3.412 2.299 5.362
-1.669 -1.109 6.454
3.500 -3.829 4.331
0.357 -0.180 1.098
4.165 -0.773 5.745
0.889 0.693 7.048
1.160 -3.050 6.348
```

distance to the lowest polymorph of the same formula = 0.166 eV per atom
total moment = 0.0 μB per formula unit
calculated density = 13.02 g/cm³
ΔH_f (0 K) = 130.4 meV per atom

***

NaTlIBr: optimized geometry, PBE.

Cell and atoms, written as POSCAR:
```
NaTlIBr
1.0
-2.008 2.991 4.460
0.671 -2.002 5.330
3.645 2.582 3.594
I Na Tl Br
1 1 1 1
Cartesian
0.577 0.893 3.346
1.154 1.785 6.692
0.000 0.000 0.000
1.731 2.678 10.038
```

distance to the lowest polymorph of the same formula = 0.096 eV per atom
total moment = 0.0 μB per formula unit
calculated density = 5.41 g/cm³

***

HfCdH: optimized geometry, PBE.

Cell and atoms, written as POSCAR:
```
HfCdH
1.0
3.237 0.002 -0.001
0.002 4.694 0.146
-1.620 -0.291 6.005
Hf Cd H
2 2 2
Cartesian
1.619 3.353 3.970
0.000 1.052 2.180
-0.001 0.906 5.288
1.620 3.499 0.862
0.000 2.858 2.992
1.619 1.547 3.157
```

distance to the lowest polymorph of the same formula = 0.019 eV per atom
total moment = 0.0 μB per formula unit
calculated density = 10.61 g/cm³

***

SrMnCu3: optimized geometry, PBE.

Cell and atoms, written as POSCAR:
```
SrMnCu3
1.0
-0.005 -3.083 -3.575
4.168 -1.681 1.444
-2.216 -3.155 2.724
Sr Mn Cu
1 1 3
Cartesian
0.973 -3.959 0.296
0.000 0.000 0.000
2.084 -0.841 0.722
-1.108 -1.577 1.362
-0.003 -1.541 -1.787
```

distance to the lowest polymorph of the same formula = 0.000 eV per atom
total moment = 3.9 μB per formula unit
calculated density = 5.26 g/cm³
ΔH_f (0 K) = 389.3 meV per atom

***

ZrS2IO8: optimized geometry, PBE.

Cell and atoms, written as POSCAR:
```
ZrS2IO8
1.0
-4.646 2.718 0.189
0.287 -4.985 2.017
2.615 3.837 9.112
Zr S I O
1 2 1 8
Cartesian
0.000 0.000 0.000
0.804 0.754 8.939
-2.548 0.816 2.379
1.308 1.919 4.556
1.561 2.055 8.839
1.689 -0.169 9.739
-0.383 1.044 9.823
-1.360 0.526 1.495
-2.185 1.349 3.644
0.441 0.221 7.674
-3.305 -0.485 2.479
-3.433 1.739 1.579
```

total moment = 1.0 μB per formula unit
DFT total energy = -0.47216 Ry per atom
calculated density = 2.65 g/cm³

***

ScCdTe2: optimized geometry, PBE.

Cell and atoms, written as POSCAR:
```
ScCdTe2
1.0
-2.555 3.345 3.227
-3.422 -1.875 3.592
1.219 0.159 5.159
Cd Sc Te
1 1 2
Cartesian
-2.379 0.814 5.989
-3.569 1.222 8.984
0.000 0.000 0.000
-1.190 0.407 2.995
```

total moment = 0.0 μB per formula unit
DFT total energy = -0.25760 Ry per atom
calculated density = 6.49 g/cm³

***

Hf2AlCdPb: optimized geometry, PBE.

Cell and atoms, written as POSCAR:
```
Hf2AlCdPb
1.0
-0.205 2.141 -5.046
1.549 -4.821 -2.108
-4.903 -1.403 -0.396
Pb Hf Al Cd
1 2 1 1
Cartesian
0.000 0.000 0.000
0.775 -2.410 -1.054
-0.103 1.070 -2.523
-2.451 -0.701 -0.198
-1.779 -2.041 -3.775
```

total moment = 0.0 μB per formula unit
calculated density = 7.59 g/cm³
ΔH_f (0 K) = 1271.6 meV per atom

***

Ac3TmGe2: optimized geometry, PBE.

Cell and atoms, written as POSCAR:
```
Ac3TmGe2
1.0
6.715 0.000 0.000
0.000 6.694 0.000
-3.357 -3.347 8.587
Ac Tm Ge
6 2 4
Cartesian
1.662 3.347 3.079
1.696 0.000 5.507
-1.696 3.347 5.507
5.053 0.000 3.079
3.357 5.021 0.000
3.357 1.674 0.000
0.000 1.674 0.000
0.000 5.021 0.000
1.549 0.000 2.198
1.808 3.347 6.389
-1.808 0.000 6.389
5.166 3.347 2.198
```

total moment = 1.2 μB per formula unit
calculated density = 8.56 g/cm³
ΔH_f (0 K) = -458.7 meV per atom